A | Material: ErTmNiPt
Method: DFT, PBE
State: optimized geometry

Cell: 4.270 5.460 5.460 Å, 40.44 90.00 90.00°
Sites, in units of the cell vectors:
Er 0.000 0.000 0.000
Tm 0.500 0.719 0.719
Ni 0.000 0.278 0.278
Pt 0.500 0.436 0.436

DOS(E_F) ... 2.7 states/eV per cell



B | Material: ErTmNiPt
Method: DFT, PBE
State: optimized geometry

Cell: 4.819 4.819 4.819 Å, 60.00 60.00 60.00°
Sites, in units of the cell vectors:
Er 0.000 0.000 0.000
Tm 0.500 0.500 0.500
Ni 0.250 0.250 0.250
Pt 0.750 0.750 0.750

DOS(E_F) ... 3.0 states/eV per cell



Decreasing stability: A, B



A | Material: ErPuNi
Method: DFT, PBE
State: optimized geometry

Cell: 4.627 4.627 3.561 Å, 90.00 90.00 120.00°
Sites, in units of the cell vectors:
Er 0.000 0.000 0.000
Pu 0.667 0.333 0.454
Ni 0.333 0.667 0.688

DOS(E_F) ... 8.6 states/eV per cell



B | Material: ErPuNi
Method: DFT, PBE
State: optimized geometry

Cell: 6.447 6.447 6.447 Å, 149.82 149.82 43.21°
Sites, in units of the cell vectors:
Er 0.000 0.000 0.000
Pu 0.727 0.727 0.000
Ni 0.372 0.372 0.000

DOS(E_F) ... 9.3 states/eV per cell



C | Material: ErPuNi
Method: DFT, PBE
State: optimized geometry

Cell: 9.739 9.739 3.487 Å, 90.00 90.00 160.05°
Sites, in units of the cell vectors:
Er 0.097 0.903 0.750
Er 0.903 0.097 0.250
Pu 0.269 0.731 0.750
Pu 0.731 0.269 0.250
Ni 0.460 0.540 0.750
Ni 0.540 0.460 0.250

DOS(E_F) ... 8.6 states/eV per cell



Decreasing stability: B, C, A



A | Material: Er2PuNi
Method: DFT, PBE
State: optimized geometry

Cell: 10.469 10.469 10.469 Å, 19.07 19.07 19.07°
Sites, in units of the cell vectors:
Er 0.109 0.109 0.109
Er 0.891 0.891 0.891
Pu 0.000 0.000 0.000
Ni 0.500 0.500 0.500

DOS(E_F) ... 11.8 states/eV per cell



B | Material: Er2PuNi
Method: DFT, PBE
State: optimized geometry

Cell: 3.372 3.372 8.481 Å, 90.00 90.00 90.00°
Sites, in units of the cell vectors:
Er 0.000 0.000 0.190
Er 0.000 0.000 0.810
Pu 0.500 0.500 0.500
Ni 0.500 0.500 0.000

DOS(E_F) ... 8.2 states/eV per cell



Decreasing stability: B, A